# 1
DyErNb4 | PBE | optimized geometry

a = 5.7137 Å, b = 5.7137 Å, c = 5.7137 Å
α = 60.00°, β = 60.00°, γ = 60.00°
Last column: nearest neighbours and their distance in Å.
Element x y z (fractional)
Dy1 0.0000 0.0000 0.0000  12 Nb 3.35, 4 Er 3.50
Er1 0.7500 0.7500 0.7500  12 Nb 3.35, 4 Dy 3.50
Nb1 0.3749 0.3749 0.3749  6 Nb 2.86
Nb2 0.3749 0.3749 0.8752  6 Nb 2.86
Nb3 0.3749 0.8752 0.3749  6 Nb 2.86
Nb4 0.8752 0.3749 0.3749  6 Nb 2.86

Energy of formation from the pure elements   0.1722 eV per atom
Total moment   0.0000 μB per atom



# 2
V3FeH7 | PBE | optimized geometry

a = 4.0940 Å, b = 4.0940 Å, c = 5.0124 Å
α = 113.70°, β = 113.70°, γ = 89.36°
Last column: nearest neighbours and their distance in Å.
Element x y z (fractional)
V1 0.0000 0.0000 0.0000  7 H 1.80-1.81
V2 0.2464 0.7536 0.5127  7 H 1.79-1.84
V3 0.7536 0.2464 0.5127  7 H 1.79-1.84
Fe1 0.5030 0.5030 0.0114  7 H 1.69-1.73
H1 0.1377 0.6092 0.7689  1 Fe 1.69, 3 V 1.80-1.81
H2 0.3742 0.3742 0.2417  1 Fe 1.70, 3 V 1.80-1.84
H3 0.3810 0.8681 0.2524  1 Fe 1.72, 3 V 1.80-1.82
H4 0.6092 0.1377 0.7689  1 Fe 1.69, 3 V 1.80-1.81
H5 0.6261 0.6261 0.7703  1 Fe 1.72, 3 V 1.80-1.81
H6 0.8635 0.8635 0.2471  1 Fe 1.73, 3 V 1.79-1.81
H7 0.8681 0.3810 0.2524  1 Fe 1.72, 3 V 1.80-1.82

E_tot   -60.76 eV for the cell shown
Total moment   0.0625 μB per atom



# 3
TbPr7Sc2 | PBE | optimized geometry

a = 9.0392 Å, b = 9.0392 Å, c = 5.6330 Å
α = 90.00°, β = 90.00°, γ = 119.70°
Last column: nearest neighbours and their distance in Å.
Element x y z (fractional)
Tb1 0.0000 0.0000 0.0000  10 Pr 3.78-3.89
Pr1 0.0617 0.3043 0.5000  2 Sc 3.14-3.22, 2 Pr 3.32-3.45
Pr2 0.2491 0.7509 0.0000  2 Sc 2.92
Pr3 0.3043 0.0617 0.5000  2 Sc 3.14-3.22, 2 Pr 3.32-3.45
Pr4 0.5000 0.5000 0.5000  2 Sc 3.16, 4 Pr 3.45
Pr5 0.6957 0.9383 0.5000  2 Sc 3.14-3.22, 2 Pr 3.32-3.45
Pr6 0.7509 0.2491 0.0000  2 Sc 2.92
Pr7 0.9383 0.6957 0.5000  2 Sc 3.14-3.22, 2 Pr 3.32-3.45
Sc1 0.2980 0.7020 0.5000  7 Pr 2.92-3.22
Sc2 0.7020 0.2980 0.5000  7 Pr 2.92-3.22

Energy of formation from the pure elements   0.5856 eV per atom
Total moment   0.0000 μB per atom



# 4
TiCuRh | PBE | optimized geometry

a = 5.2103 Å, b = 4.1255 Å, c = 7.9070 Å
α = 90.00°, β = 90.00°, γ = 90.00°
Last column: nearest neighbours and their distance in Å.
Element x y z (fractional)
Ti1 0.1696 0.2500 0.0933  5 Rh 2.57-2.65, 5 Cu 2.72-2.75
Ti2 0.3304 0.7500 0.5933  5 Rh 2.57-2.65, 5 Cu 2.72-2.75
Ti3 0.6696 0.2500 0.4067  5 Rh 2.57-2.65, 5 Cu 2.72-2.75
Ti4 0.8304 0.7500 0.9067  5 Rh 2.57-2.65, 5 Cu 2.72-2.75
Cu1 0.0778 0.2500 0.7532  2 Cu 2.61, 5 Rh 2.67-2.82, 5 Ti 2.72-2.75
Cu2 0.4222 0.7500 0.2532  2 Cu 2.61, 5 Rh 2.67-2.82, 5 Ti 2.72-2.75
Cu3 0.5778 0.2500 0.7468  2 Cu 2.61, 5 Rh 2.67-2.82, 5 Ti 2.72-2.75
Cu4 0.9222 0.7500 0.2468  2 Cu 2.61, 5 Rh 2.67-2.82, 5 Ti 2.72-2.75
Rh1 0.1771 0.2500 0.4216  5 Ti 2.57-2.65, 5 Cu 2.67-2.82
Rh2 0.3229 0.7500 0.9216  5 Ti 2.57-2.65, 5 Cu 2.67-2.82
Rh3 0.6771 0.2500 0.0784  5 Ti 2.57-2.65, 5 Cu 2.67-2.82
Rh4 0.8229 0.7500 0.5784  5 Ti 2.57-2.65, 5 Cu 2.67-2.82

Energy of formation from the pure elements   -0.4806 eV per atom
Total moment   0.0000 μB per atom



# 5
LiYIn6 | PBE | optimized geometry

a = 6.4612 Å, b = 6.4612 Å, c = 4.7057 Å
α = 90.00°, β = 90.00°, γ = 90.00°
Last column: nearest neighbours and their distance in Å.
Element x y z (fractional)
Li1 0.0000 0.0000 0.0000  12 In 3.23-3.25
Y1 0.5000 0.5000 0.0000  12 In 3.23-3.31
In1 0.0000 0.5000 0.0000  2 Li 3.23, 2 Y 3.23, 8 In 3.28
In2 0.2455 0.2455 0.5000  8 In 3.17-3.29, 2 Li 3.25, 2 Y 3.31
In3 0.2455 0.7545 0.5000  8 In 3.17-3.29, 2 Li 3.25, 2 Y 3.31
In4 0.5000 0.0000 0.0000  2 Li 3.23, 2 Y 3.23, 8 In 3.28
In5 0.7545 0.2455 0.5000  8 In 3.17-3.29, 2 Li 3.25, 2 Y 3.31
In6 0.7545 0.7545 0.5000  8 In 3.17-3.29, 2 Li 3.25, 2 Y 3.31

Energy of formation from the pure elements   -0.2568 eV per atom
Total moment   0.0000 μB per atom



# 6
Tb6MgGe2S14 | PBE | optimized geometry

a = 9.9152 Å, b = 9.9152 Å, c = 5.7925 Å
α = 90.00°, β = 90.00°, γ = 120.00°
Last column: nearest neighbours and their distance in Å.
Element x y z (fractional)
Tb1 0.0258 0.4665 0.0000  7 S 2.76-3.02
Tb2 0.3096 0.2001 0.5058  7 S 2.74-2.99
Tb3 0.4406 0.9742 0.0000  7 S 2.76-3.02
Tb4 0.5335 0.5594 0.0000  7 S 2.76-3.02
Tb5 0.7999 0.1095 0.5058  7 S 2.74-2.99
Tb6 0.8905 0.6904 0.5058  7 S 2.74-2.99
Mg1 0.6667 0.3333 0.2152  6 S 2.58-2.60
Ge1 0.0000 0.0000 0.0887  4 S 2.20-2.24
Ge2 0.3333 0.6667 0.5795  4 S 2.20-2.25
S1 0.0000 0.0000 0.7084  1 Ge 2.20
S2 0.0871 0.2351 0.2488  1 Ge 2.24
S3 0.1480 0.9129 0.2488  1 Ge 2.24
S4 0.1846 0.7527 0.7415  1 Ge 2.25
S5 0.2473 0.4319 0.7415  1 Ge 2.25
S6 0.3333 0.6667 0.2002  1 Ge 2.20
S7 0.4149 0.2384 0.9721  1 Mg 2.60, 3 Tb 2.76-2.85
S8 0.5126 0.0823 0.4534  1 Mg 2.58, 3 Tb 2.74-2.80
S9 0.5681 0.8154 0.7415  1 Ge 2.25
S10 0.5697 0.4874 0.4534  1 Mg 2.58, 3 Tb 2.74-2.80
S11 0.7616 0.1765 0.9721  1 Mg 2.60, 3 Tb 2.76-2.85
S12 0.7649 0.8520 0.2488  1 Ge 2.24
S13 0.8235 0.5851 0.9721  1 Mg 2.60, 3 Tb 2.76-2.85
S14 0.9177 0.4303 0.4534  1 Mg 2.58, 3 Tb 2.74-2.80

Total moment   0.0000 μB per atom
Uncorrected formation energy   -1.58 eV/atom



# 7
BaYGe2Au2 | PBE | optimized geometry

a = 4.5663 Å, b = 4.5663 Å, c = 8.2674 Å
α = 90.00°, β = 90.00°, γ = 120.00°
Last column: nearest neighbours and their distance in Å.
Element x y z (fractional)
Ba1 0.0000 0.0000 0.0000  6 Ge 3.55, 6 Au 3.66
Y1 0.0000 0.0000 0.5000  6 Au 3.08, 6 Ge 3.17
Ge1 0.3333 0.6667 0.7120  3 Au 2.64
Ge2 0.6667 0.3333 0.2880  3 Au 2.64
Au1 0.3333 0.6667 0.3075  3 Ge 2.64
Au2 0.6667 0.3333 0.6925  3 Ge 2.64

Energy of formation from the pure elements   -0.7498 eV per atom
Total moment   0.0000 μB per atom



# 8
InSnPb5 | PBE | optimized geometry

a = 6.9236 Å, b = 6.9236 Å, c = 11.7739 Å
α = 101.79°, β = 101.79°, γ = 54.27°
Last column: nearest neighbours and their distance in Å.
Element x y z (fractional)
In1 0.0000 0.0000 0.0000  8 Pb 3.22-3.57, 2 Sn 3.34
In2 0.0000 0.0000 0.5000  8 Pb 3.22-3.57, 2 Sn 3.34
Sn1 0.2493 0.7507 0.7500  4 Pb 3.14-3.50, 2 In 3.34
Sn2 0.7507 0.2493 0.2500  4 Pb 3.14-3.50, 2 In 3.34
Pb1 0.2309 0.2385 0.1893  1 In 3.22, 6 Pb 3.29-3.53, 2 Sn 3.50-3.56
Pb2 0.2385 0.2309 0.6893  1 In 3.22, 6 Pb 3.29-3.53, 2 Sn 3.50-3.56
Pb3 0.2537 0.7463 0.2500  2 Sn 3.14-3.18, 2 In 3.35
Pb4 0.3606 0.3675 0.4744  4 Pb 3.27-3.65, 2 In 3.54-3.57, 1 Sn 3.64
Pb5 0.3675 0.3606 0.9744  4 Pb 3.27-3.65, 2 In 3.54-3.57, 1 Sn 3.64
Pb6 0.6325 0.6394 0.0256  4 Pb 3.27-3.65, 2 In 3.54-3.57, 1 Sn 3.64
Pb7 0.6394 0.6325 0.5256  4 Pb 3.27-3.65, 2 In 3.54-3.57, 1 Sn 3.64
Pb8 0.7463 0.2537 0.7500  2 Sn 3.14-3.18, 2 In 3.35
Pb9 0.7615 0.7691 0.3107  1 In 3.22, 6 Pb 3.29-3.53, 2 Sn 3.50-3.56
Pb10 0.7691 0.7615 0.8107  1 In 3.22, 6 Pb 3.29-3.53, 2 Sn 3.50-3.56

Energy of formation from the pure elements   0.0745 eV per atom
Total moment   0.0000 μB per atom